DFT (GGA-PBEsol) results for a relaxed structure of KGaP2Cl.

Cell: 5.910 5.910 5.516 Å, 90.00 90.00 90.00°
Atoms (fractional coordinates):
K1 0.000 0.000 0.000
Ga1 0.500 0.500 0.500
P1 0.000 0.500 0.000
P2 0.500 0.000 0.000
Cl1 0.000 0.000 0.500

The total energy comes out at -12.47 eV for the cell shown. The size of the total moment comes out at 5.01 μB/f.u. The value obtained for the formation energy from raw total energies is 1118 meV per atom.